Run A
DFT (GGA-PBEsol) results for crystalline SrYZnIr2 at its relaxed geometry.

The structure in POSCAR format:
```
SrYZnIr2
1.0
4.741 0.000 0.000
0.000 4.741 0.000
0.000 0.000 4.826
Ir Y Zn Sr
2 1 1 1
direct
0.000 0.500 0.000
0.500 0.000 0.000
0.500 0.500 0.500
0.000 0.000 0.000
0.000 0.000 0.500
```

- DOS(E_F): 2.20 states/eV per cell


Run B
DFT (GGA-PBEsol) results for crystalline SrYZnIr2 at its relaxed geometry.

The structure in POSCAR format:
```
SrYZnIr2
1.0
4.755 0.000 0.000
0.000 4.755 0.000
0.000 0.000 4.854
Zn Ir Sr Y
1 2 1 1
direct
0.000 0.000 0.000
0.500 0.000 0.000
0.000 0.500 0.000
0.500 0.500 0.500
0.000 0.000 0.500
```

- DOS(E_F): 2.37 states/eV per cell


Decreasing stability: run B, run A


Run A
DFT (GGA-PBEsol) results for crystalline SrZrIr2 at its relaxed geometry.

The structure in POSCAR format:
```
SrZrIr2
1.0
3.122 0.000 0.000
0.000 4.235 0.000
0.000 0.000 6.437
Zr Ir Sr
1 2 1
direct
0.500 0.500 0.855
0.500 0.500 0.231
0.000 0.000 0.961
0.000 0.000 0.453
```

- DOS(E_F): 2.33 states/eV per cell


Run B
DFT (GGA-PBEsol) results for crystalline SrZrIr2 at its relaxed geometry.

The structure in POSCAR format:
```
SrZrIr2
1.0
-1.705 2.464 1.237
-2.647 -1.871 0.077
1.779 -2.234 6.902
Ir Zr Sr
2 1 1
direct
0.000 0.000 0.705
0.000 0.000 0.295
0.500 0.500 0.500
0.500 0.500 0.000
```

- DOS(E_F): 1.46 states/eV per cell


Decreasing stability: run B, run A


Run A
DFT (GGA-PBEsol) results for crystalline Ta2Ir3 at its relaxed geometry.

The structure in POSCAR format:
```
Ta2Ir3
1.0
-3.729 2.957 1.364
-4.935 -1.972 -0.233
2.435 -3.645 5.576
Ta Ir
4 6
direct
0.537 0.577 0.895
0.218 0.423 0.105
0.363 0.923 0.395
0.892 0.077 0.605
0.797 0.392 0.300
0.889 0.608 0.700
0.439 0.108 0.800
0.747 0.892 0.200
0.309 0.500 0.500
0.059 0.000 0.000
```

- DOS(E_F): 6.70 states/eV per cell


Run B
DFT (GGA-PBEsol) results for crystalline Ta2Ir3 at its relaxed geometry.

The structure in POSCAR format:
```
Ta2Ir3
1.0
4.289 0.000 0.000
-2.144 3.714 0.000
0.000 0.000 5.401
Ta Ir
2 3
direct
0.333 0.667 0.813
0.667 0.333 0.187
0.667 0.333 0.659
0.000 0.000 0.000
0.333 0.667 0.341
```

- DOS(E_F): 3.80 states/eV per cell


Decreasing stability: run A, run B


Run A
DFT (GGA-PBEsol) results for crystalline TaTlIr2 at its relaxed geometry.

The structure in POSCAR format:
```
TaTlIr2
1.0
2.943 0.000 0.000
0.000 4.767 0.000
0.000 0.000 4.767
Ir Ta Tl
2 1 1
direct
0.000 0.500 0.000
0.000 0.000 0.500
0.500 0.500 0.500
0.500 0.000 0.000
```

- DOS(E_F): 3.32 states/eV per cell


Run B
DFT (GGA-PBEsol) results for crystalline TaTlIr2 at its relaxed geometry.

The structure in POSCAR format:
```
TaTlIr2
1.0
-1.938 1.697 -3.740
1.064 -1.694 -4.077
-3.043 -2.466 -2.299
Ir Ta Tl
2 1 1
direct
0.750 0.750 0.750
0.000 0.000 0.000
0.500 0.500 0.500
0.250 0.250 0.250
```

- DOS(E_F): 5.34 states/eV per cell


Decreasing stability: run A, run B